# 1
A plane-wave DFT calculation with GGA-PBE was carried out for crystalline Tb3Pm6PrY2 at its relaxed geometry.

Cell lengths 6.2775, 6.2775, 11.9767 Å; angles 95.01, 95.01, 119.99 degrees
Fractional positions:
Tb  0.0000  0.0000  0.0000
Tb  0.3330  0.6670  0.0000
Tb  0.6670  0.3330  0.0000
Pm  0.0820  0.4156  0.2481
Pm  0.2508  0.2508  0.7519
Pm  0.4156  0.0820  0.2481
Pm  0.5844  0.9180  0.7519
Pm  0.7492  0.7492  0.2481
Pm  0.9180  0.5844  0.7519
Pr  0.5000  0.5000  0.5000
Y  0.1666  0.8334  0.5000
Y  0.8334  0.1666  0.5000

For the energy, the calculation gives -0.18361 hartree per atom. The density of states at the Fermi level is 15.5 states/eV/f.u. For the density, the calculation gives 6.87 g cm⁻³. For the total moment, the calculation gives 0.000 μB/atom.


# 2
A plane-wave DFT calculation with GGA-PBE was carried out for crystalline KBiHF6 at its relaxed geometry.

Cell lengths 4.5014, 5.8960, 6.0474 Å; angles 91.14, 92.20, 111.55 degrees
Fractional positions:
K  0.0000  0.0000  0.0000
Bi  0.7042  0.3686  0.5017
H  0.3173  0.5543  0.7889
F  0.0599  0.4843  0.8249
F  0.1816  0.3278  0.4333
F  0.5026  0.0745  0.7168
F  0.5773  0.1404  0.2099
F  0.5897  0.6187  0.7541
F  0.8772  0.6974  0.3317

For the energy, the calculation gives -0.15948 hartree per atom. The density of states at the Fermi level is 2.8 states/eV/f.u. For the density, the calculation gives 4.04 g cm⁻³. For the total moment, the calculation gives 0.000 μB/atom.


# 3
A plane-wave DFT calculation with GGA-PBE was carried out for crystalline ScTl2Mo at its relaxed geometry.

Cell lengths 5.3428, 5.3428, 5.3428 Å; angles 131.98, 131.98, 70.25 degrees
Fractional positions:
Sc  0.0000  0.0000  0.0000
Tl  0.2500  0.7500  0.5000
Tl  0.7500  0.2500  0.5000
Mo  0.5000  0.5000  0.0000

The density of states at the Fermi level is 1.9 states/eV/f.u. The energy relative to the lowest polymorph listed for this composition comes out at 0.0 meV/atom. For the density, the calculation gives 11.05 g cm⁻³. For the total moment, the calculation gives 0.000 μB/atom.


# 4
A plane-wave DFT calculation with GGA-PBE was carried out for crystalline Li2HfPtO at its relaxed geometry.

Cell lengths 3.9608, 3.9608, 4.2762 Å; angles 90.00, 90.00, 90.00 degrees
Fractional positions:
Li  0.0000  0.5000  0.0000
Li  0.5000  0.0000  0.0000
Hf  0.0000  0.0000  0.5000
Pt  0.5000  0.5000  0.5000
O  0.0000  0.0000  0.0000

The density of states at the Fermi level is 1.8 states/eV/f.u. For the density, the calculation gives 9.99 g cm⁻³. For the total moment, the calculation gives 0.000 μB/atom. The energy relative to the elements, uncorrected comes out at -1.449 eV/atom.


# 5
A plane-wave DFT calculation with GGA-PBE was carried out for crystalline NdHoAlAg at its relaxed geometry.

Cell lengths 3.5972, 3.5972, 7.6726 Å; angles 90.00, 90.00, 90.00 degrees
Fractional positions:
Nd  0.0000  0.0000  0.0000
Ho  0.0000  0.0000  0.5040
Al  0.5000  0.5000  0.7415
Ag  0.5000  0.5000  0.2829

The density of states at the Fermi level is 3.3 states/eV/f.u. The energy relative to the lowest polymorph listed for this composition comes out at 0.0 meV/atom. For the density, the calculation gives 7.43 g cm⁻³. For the total moment, the calculation gives 0.000 μB/atom.